1.
# YInAs2

A geometry-optimized YInAs2 structure (PBE-GGA, Alexandria via LeMat-Bulk).

Summary:
Energy of formation in eV/atom: -0.574

Unit cell a=6.1362 b=6.1362 c=6.1362 alpha=140.99 beta=140.98 gamma=56.36
Sites, in units of the cell vectors:
Y (0.0000, 0.0000, 0.0000)
In (0.7503, 0.2503, 0.5000)
As (0.2477, 0.7477, 0.5000)
As (0.4988, 0.4988, 0.0000)

---

2.
# GaSnHg2

A geometry-optimized GaSnHg2 structure (PBE-GGA, Alexandria via LeMat-Bulk).

Summary:
Polymorph energy (0 for the lowest one) in eV per formula unit: 0.08
Energy of formation in eV/atom: 0.084

Unit cell a=5.1794 b=5.1794 c=5.1794 alpha=60.00 beta=60.00 gamma=60.00
Sites, in units of the cell vectors:
Ga (0.0000, 0.0000, 0.0000)
Sn (0.5000, 0.5000, 0.5000)
Hg (0.2500, 0.2500, 0.2500)
Hg (0.7500, 0.7500, 0.7500)

---

3.
# CuRhSeN2

A geometry-optimized CuRhSeN2 structure (PBE-GGA, Alexandria via LeMat-Bulk).

Summary:
Uncorrected formation energy in eV/atom: 1.582

Unit cell a=3.6673 b=3.6673 c=5.4236 alpha=90.00 beta=90.00 gamma=90.00
Sites, in units of the cell vectors:
Cu (0.0000, 0.0000, 0.0000)
Rh (0.5000, 0.5000, 0.5000)
Se (0.0000, 0.0000, 0.5000)
N (0.0000, 0.5000, 0.0000)
N (0.5000, 0.0000, 0.0000)

---

4.
# SrPrGaPd

A geometry-optimized SrPrGaPd structure (PBE-GGA, Alexandria via LeMat-Bulk).

Summary:
Energy of formation in eV/atom: -0.475

Unit cell a=5.2924 b=5.2924 c=5.2924 alpha=60.00 beta=60.00 gamma=60.00
Sites, in units of the cell vectors:
Sr (0.0000, 0.0000, 0.0000)
Pr (0.5000, 0.5000, 0.5000)
Ga (0.2500, 0.2500, 0.2500)
Pd (0.7500, 0.7500, 0.7500)

---

5.
# Rb2U2N5

A geometry-optimized Rb2U2N5 structure (PBE-GGA, Alexandria via LeMat-Bulk).

Summary:
Uncorrected formation energy in eV/atom: -0.687

Unit cell a=7.8805 b=7.8805 c=6.5882 alpha=90.12 beta=90.12 gamma=52.90
Sites, in units of the cell vectors:
Rb (0.2097, 0.7315, 0.0000)
Rb (0.2685, 0.7903, 0.5000)
Rb (0.7315, 0.2097, 0.5000)
Rb (0.7903, 0.2685, 0.0000)
U (0.2351, 0.3031, 0.3726)
U (0.3031, 0.2351, 0.8726)
U (0.6969, 0.7649, 0.1274)
U (0.7649, 0.6969, 0.6274)
N (0.0000, 0.5000, 0.0000)
N (0.0629, 0.2982, 0.5875)
N (0.2982, 0.0629, 0.0875)
N (0.3349, 0.4014, 0.6879)
N (0.4014, 0.3349, 0.1879)
N (0.5000, 0.0000, 0.5000)
N (0.5986, 0.6651, 0.8121)
N (0.6651, 0.5986, 0.3121)
N (0.7018, 0.9371, 0.9125)
N (0.9371, 0.7018, 0.4125)

---

6.
# TiCdSe

A geometry-optimized TiCdSe structure (PBE-GGA, Alexandria via LeMat-Bulk).

Summary:
Uncorrected formation energy in eV/atom: -0.395

Unit cell a=3.4518 b=3.4518 c=12.2767 alpha=90.00 beta=90.00 gamma=120.00
Sites, in units of the cell vectors:
Ti (0.0000, 0.0000, 0.0000)
Ti (0.3333, 0.6667, 0.5000)
Cd (0.0000, 0.0000, 0.3228)
Cd (0.0000, 0.0000, 0.6772)
Se (0.3333, 0.6667, 0.1328)
Se (0.3333, 0.6667, 0.8672)

---

7.
# PbC2O

A geometry-optimized PbC2O structure (PBE-GGA, Alexandria via LeMat-Bulk).

Summary:
Polymorph energy (0 for the lowest one) in eV per formula unit: 0.00
Uncorrected formation energy in eV/atom: 1.290

Unit cell a=12.8317 b=12.8317 c=12.8317 alpha=166.23 beta=166.23 gamma=19.53
Sites, in units of the cell vectors:
Pb (0.3750, 0.6250, 0.7500)
Pb (0.6250, 0.3750, 0.2500)
C (0.0000, 0.0000, 0.0000)
C (0.0000, 0.0000, 0.5000)
C (0.0000, 0.5000, 0.0000)
C (0.5000, 0.0000, 0.5000)
O (0.1250, 0.8750, 0.2500)
O (0.8750, 0.1250, 0.7500)

---

8.
# Ca4Bi5Au2

A geometry-optimized Ca4Bi5Au2 structure (PBE-GGA, Alexandria via LeMat-Bulk).

Summary:
Energy of formation in eV/atom: -0.613

Unit cell a=8.3475 b=3.6809 c=10.3943 alpha=90.00 beta=93.23 gamma=90.00
Sites, in units of the cell vectors:
Ca (0.1920, 0.0000, 0.3691)
Ca (0.2328, 0.0000, 0.9315)
Ca (0.7672, 0.0000, 0.0685)
Ca (0.8080, 0.0000, 0.6309)
Bi (0.1564, 0.5000, 0.6565)
Bi (0.4433, 0.5000, 0.1764)
Bi (0.5000, 0.5000, 0.5000)
Bi (0.5567, 0.5000, 0.8236)
Bi (0.8436, 0.5000, 0.3435)
Au (0.0756, 0.5000, 0.1278)
Au (0.9244, 0.5000, 0.8722)

---

9.
# Ac2PrBi2Te2

A geometry-optimized Ac2PrBi2Te2 structure (PBE-GGA, Alexandria via LeMat-Bulk).

Summary:
Uncorrected formation energy in eV/atom: -0.774

Unit cell a=9.3426 b=9.3426 c=9.3426 alpha=142.30 beta=142.30 gamma=54.38
Sites, in units of the cell vectors:
Ac (0.1224, 0.1224, 0.0000)
Ac (0.8776, 0.8776, 0.0000)
Pr (0.5000, 0.5000, 0.0000)
Bi (0.0000, 0.5000, 0.5000)
Bi (0.5000, 0.0000, 0.5000)
Te (0.3117, 0.3117, 0.0000)
Te (0.6883, 0.6883, 0.0000)

---

10.
# SrLaTe

A geometry-optimized SrLaTe structure (PBE-GGA, Alexandria via LeMat-Bulk).

Summary:
Polymorph energy (0 for the lowest one) in eV per formula unit: 0.00
Uncorrected formation energy in eV/atom: -0.908

Unit cell a=4.3366 b=4.3366 c=7.6021 alpha=90.00 beta=90.00 gamma=120.00
Sites, in units of the cell vectors:
Sr (0.0000, 0.0000, 0.0000)
La (0.3333, 0.6667, 0.5520)
Te (0.6667, 0.3333, 0.2884)

---

11.
# TbPmDyEr2

A geometry-optimized TbPmDyEr2 structure (PBE-GGA, Alexandria via LeMat-Bulk).

Summary:
Energy of formation in eV/atom: 0.386

Unit cell a=7.0822 b=7.0822 c=7.1710 alpha=90.00 beta=90.00 gamma=107.61
Sites, in units of the cell vectors:
Tb (0.0024, 0.9976, 0.7500)
Tb (0.9976, 0.0024, 0.2500)
Pm (0.2739, 0.7261, 0.7500)
Pm (0.7261, 0.2739, 0.2500)
Dy (0.2763, 0.7237, 0.2500)
Dy (0.7237, 0.2763, 0.7500)
Er (0.3111, 0.3111, 0.0000)
Er (0.3111, 0.3111, 0.5000)
Er (0.6889, 0.6889, 0.0000)
Er (0.6889, 0.6889, 0.5000)

---

12.
# MgBe2P

A geometry-optimized MgBe2P structure (PBE-GGA, Alexandria via LeMat-Bulk).

Summary:
Polymorph energy (0 for the lowest one) in eV per formula unit: 0.20
Energy of formation in eV/atom: 0.039

Unit cell a=3.9335 b=3.9335 c=4.7753 alpha=100.30 beta=100.30 gamma=51.37
Sites, in units of the cell vectors:
Mg (0.0000, 0.0000, 0.0000)
Be (0.4752, 0.4752, 0.4283)
Be (0.7602, 0.7602, 0.3726)
P (0.2394, 0.2394, 0.6312)

---

13.
# RbHfGa2Cl8

A geometry-optimized RbHfGa2Cl8 structure (PBE-GGA, Alexandria via LeMat-Bulk).

Summary:
Uncorrected formation energy in eV/atom: -1.435

Unit cell a=6.7743 b=6.9876 c=7.9357 alpha=97.95 beta=91.55 gamma=92.92
Sites, in units of the cell vectors:
Rb (0.0000, 0.0000, 0.0000)
Hf (0.5000, 0.5000, 0.0000)
Ga (0.2807, 0.4965, 0.4987)
Ga (0.7193, 0.5035, 0.5013)
Cl (0.0186, 0.7189, 0.6011)
Cl (0.2297, 0.6369, 0.1692)
Cl (0.2691, 0.3186, 0.7797)
Cl (0.4868, 0.2252, 0.1606)
Cl (0.5132, 0.7748, 0.8394)
Cl (0.7309, 0.6814, 0.2203)
Cl (0.7703, 0.3631, 0.8308)
Cl (0.9814, 0.2811, 0.3989)

---

14.
# CaNbZn

A geometry-optimized CaNbZn structure (PBE-GGA, Alexandria via LeMat-Bulk).

Summary:
Polymorph energy (0 for the lowest one) in eV per formula unit: 0.50
Energy of formation in eV/atom: 0.262

Unit cell a=6.9158 b=6.9158 c=6.9158 alpha=153.99 beta=153.99 gamma=37.12
Sites, in units of the cell vectors:
Ca (0.0000, 0.0000, 0.0000)
Nb (0.6952, 0.6952, 0.0000)
Zn (0.3262, 0.3262, 0.0000)

---

15.
# LaTl2

A geometry-optimized LaTl2 structure (PBE-GGA, Alexandria via LeMat-Bulk).

Summary:
Energy of formation in eV/atom: -0.092

Unit cell a=5.2385 b=5.2385 c=4.0968 alpha=90.00 beta=90.00 gamma=90.00
Sites, in units of the cell vectors:
La (0.0000, 0.0000, 0.0000)
Tl (0.0000, 0.5000, 0.5000)
Tl (0.5000, 0.0000, 0.5000)

---

16.
# KNiAu

A geometry-optimized KNiAu structure (PBE-GGA, Alexandria via LeMat-Bulk).

Summary:
Polymorph energy (0 for the lowest one) in eV per formula unit: 0.00
Energy of formation in eV/atom: 0.164

Unit cell a=6.2634 b=6.2634 c=6.2634 alpha=153.50 beta=140.79 gamma=47.95
Sites, in units of the cell vectors:
K (0.0000, 0.0000, 0.0000)
Ni (0.7367, 0.7367, 0.0000)
Au (0.2745, 0.2745, 0.0000)

---

17.
# CdInAgRh

A geometry-optimized CdInAgRh structure (PBE-GGA, Alexandria via LeMat-Bulk).

Summary:
Energy of formation in eV/atom: -0.136

Unit cell a=4.6773 b=4.6773 c=4.6773 alpha=60.00 beta=60.00 gamma=60.00
Sites, in units of the cell vectors:
Cd (0.0000, 0.0000, 0.0000)
In (0.5000, 0.5000, 0.5000)
Ag (0.2500, 0.2500, 0.2500)
Rh (0.7500, 0.7500, 0.7500)

---

18.
# SrP2Se

A geometry-optimized SrP2Se structure (PBE-GGA, Alexandria via LeMat-Bulk).

Summary:
Uncorrected formation energy in eV/atom: -0.248

Unit cell a=6.1303 b=6.1303 c=4.1254 alpha=109.45 beta=109.45 gamma=123.34
Sites, in units of the cell vectors:
Sr (0.0000, 0.0000, 0.0000)
P (0.0000, 0.5000, 0.5000)
P (0.5000, 0.0000, 0.5000)
Se (0.5000, 0.5000, 0.0000)

---

19.
# PaAgHO4

A geometry-optimized PaAgHO4 structure (PBE-GGA, Alexandria via LeMat-Bulk).

Unit cell a=6.9265 b=6.9265 c=6.9265 alpha=123.33 beta=119.41 gamma=87.68
Sites, in units of the cell vectors:
Pa (0.0000, 0.0000, 0.0000)
Pa (0.5000, 0.0000, 0.5000)
Ag (0.5000, 0.0000, 0.0000)
Ag (0.5000, 0.5000, 0.5000)
H (0.0281, 0.7781, 0.2500)
H (0.9719, 0.2219, 0.7500)
O (0.1264, 0.2018, 0.9246)
O (0.2227, 0.7982, 0.4246)
O (0.2921, 0.2467, 0.4546)
O (0.2921, 0.8376, 0.0454)
O (0.7079, 0.1624, 0.9546)
O (0.7079, 0.7533, 0.5454)
O (0.7773, 0.2018, 0.5754)
O (0.8736, 0.7982, 0.0754)

---

20.
# Mg3Zr2NbN6

A geometry-optimized Mg3Zr2NbN6 structure (PBE-GGA, Alexandria via LeMat-Bulk).

Summary:
Uncorrected formation energy in eV/atom: -1.204

Unit cell a=7.0944 b=7.0944 c=6.3526 alpha=102.61 beta=102.61 gamma=25.90
Sites, in units of the cell vectors:
Mg (0.0000, 0.0000, 0.0000)
Mg (0.3345, 0.3345, 0.6684)
Mg (0.6655, 0.6655, 0.3316)
Zr (0.3343, 0.3343, 0.1684)
Zr (0.6657, 0.6657, 0.8316)
Nb (0.0000, 0.0000, 0.5000)
N (0.1614, 0.1614, 0.5806)
N (0.1674, 0.1674, 0.0792)
N (0.5000, 0.5000, 0.2601)
N (0.5000, 0.5000, 0.7399)
N (0.8326, 0.8326, 0.9208)
N (0.8386, 0.8386, 0.4194)

---

21.
# PrHoErHg

A geometry-optimized PrHoErHg structure (PBE-GGA, Alexandria via LeMat-Bulk).

Summary:
Polymorph energy (0 for the lowest one) in eV per formula unit: 0.70
Energy of formation in eV/atom: -0.057

Unit cell a=5.4639 b=5.4639 c=5.4639 alpha=60.00 beta=60.00 gamma=60.00
Sites, in units of the cell vectors:
Pr (0.0000, 0.0000, 0.0000)
Ho (0.5000, 0.5000, 0.5000)
Er (0.2500, 0.2500, 0.2500)
Hg (0.7500, 0.7500, 0.7500)

---

22.
# Ba2IrPt

A geometry-optimized Ba2IrPt structure (PBE-GGA, Alexandria via LeMat-Bulk).

Summary:
Energy of formation in eV/atom: 0.092

Unit cell a=3.4866 b=5.4305 c=6.3404 alpha=90.00 beta=90.00 gamma=90.00
Sites, in units of the cell vectors:
Ba (0.0000, 0.0000, 0.0000)
Ba (0.5000, 0.5000, 0.4988)
Ir (0.0000, 0.0000, 0.5002)
Pt (0.5000, 0.5000, 0.9987)

---

23.
# Hf3Ni4Ge4

A geometry-optimized Hf3Ni4Ge4 structure (PBE-GGA, Alexandria via LeMat-Bulk).

Summary:
Energy of formation in eV/atom: -0.670

Unit cell a=7.5047 b=7.5047 c=7.5047 alpha=149.74 beta=128.50 gamma=60.91
Sites, in units of the cell vectors:
Hf (0.0000, 0.0000, 0.0000)
Hf (0.3722, 0.8722, 0.5000)
Hf (0.6278, 0.1278, 0.5000)
Ni (0.0234, 0.3233, 0.7000)
Ni (0.3767, 0.6767, 0.7000)
Ni (0.6233, 0.3233, 0.3000)
Ni (0.9766, 0.6767, 0.3000)
Ge (0.2134, 0.2134, 0.0000)
Ge (0.2999, 0.5000, 0.7999)
Ge (0.7001, 0.5000, 0.2001)
Ge (0.7866, 0.7866, 0.0000)

---

24.
# TiVN3

A geometry-optimized TiVN3 structure (PBE-GGA, Alexandria via LeMat-Bulk).

Summary:
Uncorrected formation energy in eV/atom: 0.458

Unit cell a=3.8718 b=3.8718 c=3.8718 alpha=90.00 beta=90.00 gamma=90.00
Sites, in units of the cell vectors:
Ti (0.0000, 0.0000, 0.0000)
V (0.5000, 0.5000, 0.5000)
N (0.0000, 0.0000, 0.5000)
N (0.0000, 0.5000, 0.0000)
N (0.5000, 0.0000, 0.0000)

---

25.
# SrLi2Fe

A geometry-optimized SrLi2Fe structure (PBE-GGA, Alexandria via LeMat-Bulk).

Summary:
Polymorph energy (0 for the lowest one) in eV per formula unit: 1.07
Energy of formation in eV/atom: 0.697

Unit cell a=9.8890 b=9.8890 c=9.8890 alpha=19.95 beta=19.95 gamma=19.95
Sites, in units of the cell vectors:
Sr (0.0000, 0.0000, 0.0000)
Li (0.2312, 0.2312, 0.2312)
Li (0.7688, 0.7688, 0.7688)
Fe (0.5000, 0.5000, 0.5000)

---

26.
# MgScPd

A geometry-optimized MgScPd structure (PBE-GGA, Alexandria via LeMat-Bulk).

Summary:
Energy of formation in eV/atom: -0.478

Unit cell a=4.5231 b=4.5231 c=4.5231 alpha=60.00 beta=60.00 gamma=60.00
Sites, in units of the cell vectors:
Mg (0.0000, 0.0000, 0.0000)
Sc (0.5000, 0.5000, 0.5000)
Pd (0.2500, 0.2500, 0.2500)

---

27.
# Pa2Tl

A geometry-optimized Pa2Tl structure (PBE-GGA, Alexandria via LeMat-Bulk).

Summary:
Polymorph energy (0 for the lowest one) in eV per formula unit: 0.00
Energy of formation in eV/atom: 0.322

Unit cell a=5.5127 b=5.5127 c=5.5127 alpha=135.52 beta=135.52 gamma=64.73
Sites, in units of the cell vectors:
Pa (0.1470, 0.1470, 0.0000)
Pa (0.8530, 0.8530, 0.0000)
Tl (0.5000, 0.5000, 0.0000)

---

Across the entries above, density of states at the Fermi level takes the values 1.682, 2.470, 4.958, 4.000, 9.010, 3.562, 3.144, 3.791, 4.806, 1.453, 14.388, 1.119, 2.098, 3.717, 2.919, 2.523, 1.702, 1.527, 7.537, 2.395, 5.290, 5.309, 3.478, 3.997, 5.121, 2.177, 6.637 states/eV/cell, respectively.
Across the entries above, total DFT energy (no corrections) takes the values -20.80, -7.30, -23.67, -16.58, -144.65, -26.96, -43.91, -40.71, -32.46, -12.47, -42.35, -14.30, -48.96, -12.56, -9.94, -9.66, -14.40, -16.98, -95.79, -96.35, -14.45, -18.38, -78.82, -39.70, -11.18, -14.55, -20.39 eV per cell, respectively.